# CrSe | Alexandria via LeMat-Bulk | GGA-PBE | relaxed
data_CrSe
_chemical_formula_sum 'Cr8 Se8'
_symmetry_space_group_name_H-M 'I 4/m'
_symmetry_Int_Tables_number 87
_symmetry_space_group_name_Hall '-I 4'
_cell_length_a 10.386
_cell_length_b 10.386
_cell_length_c 3.270
_cell_angle_alpha 90.00
_cell_angle_beta 90.00
_cell_angle_gamma 90.00
loop_
_atom_site_label
_atom_site_type_symbol
_atom_site_fract_x
_atom_site_fract_y
_atom_site_fract_z
Cr1 Cr 0.167 0.725 0.000
Se1 Se 0.069 0.276 0.000
# Uncorrected formation energy = -0.07 eV per formula unit
# Magnetization = 1.004 μB per formula unit
# Mass density = 4.93 Mg/m³
# Crystal system = tetragonal
# Uncorrected energy = -105.4 eV/cell

# CrSe2 | Alexandria via LeMat-Bulk | GGA-PBE | relaxed
data_CrSe2
_chemical_formula_sum 'Cr16 Se32'
_symmetry_space_group_name_H-M 'F -4 3 m'
_symmetry_Int_Tables_number 216
_symmetry_space_group_name_Hall 'F -4 2 3'
_cell_length_a 10.043
_cell_length_b 10.043
_cell_length_c 10.043
_cell_angle_alpha 90.00
_cell_angle_beta 90.00
_cell_angle_gamma 90.00
loop_
_atom_site_label
_atom_site_type_symbol
_atom_site_fract_x
_atom_site_fract_y
_atom_site_fract_z
Cr1 Cr 0.119 0.119 0.381
Se1 Se 0.127 0.127 0.627
Se2 Se 0.131 0.131 0.131
# Uncorrected formation energy = -1.33 eV per formula unit
# Magnetization = 2.189 μB per formula unit
# Mass density = 5.51 Mg/m³
# Crystal system = cubic
# Uncorrected energy = -286.8 eV/cell

# Cr3Se | Alexandria via LeMat-Bulk | GGA-PBE | relaxed
data_Cr3Se
_chemical_formula_sum 'Cr6 Se2'
_symmetry_space_group_name_H-M 'P m -3 n'
_symmetry_Int_Tables_number 223
_symmetry_space_group_name_Hall '-P 4n 2 3'
_cell_length_a 4.604
_cell_length_b 4.604
_cell_length_c 4.604
_cell_angle_alpha 90.00
_cell_angle_beta 90.00
_cell_angle_gamma 90.00
loop_
_atom_site_label
_atom_site_type_symbol
_atom_site_fract_x
_atom_site_fract_y
_atom_site_fract_z
Cr1 Cr 0.000 0.250 0.500
Se1 Se 0.000 0.000 0.000
# Uncorrected formation energy = 0.94 eV per formula unit
# Magnetization = 0.001 μB per formula unit
# Mass density = 7.99 Mg/m³
# Crystal system = cubic
# Uncorrected energy = -62.8 eV/cell
# Energy above the lowest structure with this stoichiometry = 15.2 meV per atom

# CrSe | Alexandria via LeMat-Bulk | GGA-PBE | relaxed
data_CrSe
_chemical_formula_sum 'Cr4 Se4'
_symmetry_space_group_name_H-M 'C m c m'
_symmetry_Int_Tables_number 63
_symmetry_space_group_name_Hall '-C 2c 2'
_cell_length_a 3.258
_cell_length_b 9.482
_cell_length_c 4.138
_cell_angle_alpha 90.00
_cell_angle_beta 90.00
_cell_angle_gamma 90.00
loop_
_atom_site_label
_atom_site_type_symbol
_atom_site_fract_x
_atom_site_fract_y
_atom_site_fract_z
Cr1 Cr 0.000 0.086 0.250
Se1 Se 0.000 0.368 0.250
# Uncorrected formation energy = 0.02 eV per formula unit
# Magnetization = 2.250 μB per formula unit
# Mass density = 6.80 Mg/m³
# Crystal system = orthorhombic
# Uncorrected energy = -52.3 eV/cell

# Cr2Se | Alexandria via LeMat-Bulk | GGA-PBE | relaxed
data_Cr2Se
_chemical_formula_sum 'Cr8 Se4'
_symmetry_space_group_name_H-M 'C m c m'
_symmetry_Int_Tables_number 63
_symmetry_space_group_name_Hall '-C 2c 2'
_cell_length_a 7.127
_cell_length_b 5.082
_cell_length_c 4.351
_cell_angle_alpha 90.00
_cell_angle_beta 90.00
_cell_angle_gamma 90.00
loop_
_atom_site_label
_atom_site_type_symbol
_atom_site_fract_x
_atom_site_fract_y
_atom_site_fract_z
Cr1 Cr 0.166 0.165 0.250
Se1 Se 0.000 0.281 0.750
# Uncorrected formation energy = 0.45 eV per formula unit
# Magnetization = 0.000 μB per formula unit
# Mass density = 7.71 Mg/m³
# Crystal system = orthorhombic
# Uncorrected energy = -89.1 eV/cell
# Energy above the lowest structure with this stoichiometry = 264.2 meV per atom

# Cr2Se | Alexandria via LeMat-Bulk | GGA-PBE | relaxed
data_Cr2Se
_chemical_formula_sum 'Cr8 Se4'
_symmetry_space_group_name_H-M 'P a -3'
_symmetry_Int_Tables_number 205
_symmetry_space_group_name_Hall '-P 2ac 2ab 3'
_cell_length_a 5.717
_cell_length_b 5.717
_cell_length_c 5.717
_cell_angle_alpha 90.00
_cell_angle_beta 90.00
_cell_angle_gamma 90.00
loop_
_atom_site_label
_atom_site_type_symbol
_atom_site_fract_x
_atom_site_fract_y
_atom_site_fract_z
Cr1 Cr 0.102 0.102 0.102
Se1 Se 0.000 0.000 0.500
# Uncorrected formation energy = 1.54 eV per formula unit
# Magnetization = 1.735 μB per formula unit
# Mass density = 6.50 Mg/m³
# Crystal system = cubic
# Uncorrected energy = -84.8 eV/cell
# Energy above the lowest structure with this stoichiometry = 627.0 meV per atom

# Cr2Se | Alexandria via LeMat-Bulk | GGA-PBE | relaxed
data_Cr2Se
_chemical_formula_sum 'Cr8 Se4'
_symmetry_space_group_name_H-M 'P n m a'
_symmetry_Int_Tables_number 62
_cell_length_a 6.225
_cell_length_b 3.892
_cell_length_c 7.259
_cell_angle_alpha 90.00
_cell_angle_beta 90.00
_cell_angle_gamma 90.00
loop_
_symmetry_equiv_pos_as_xyz
'x,y,z'
'-x,-y,-z'
'-x+1/2,-y,z+1/2'
'x+1/2,y,-z+1/2'
'x+1/2,-y+1/2,-z+1/2'
'-x+1/2,y+1/2,z+1/2'
'-x,y+1/2,-z'
'x,-y+1/2,z'
loop_
_atom_site_label
_atom_site_type_symbol
_atom_site_fract_x
_atom_site_fract_y
_atom_site_fract_z
Cr1 Cr 0.026 0.250 0.171
Cr2 Cr 0.152 0.250 0.554
Se1 Se 0.244 0.750 0.368
# Uncorrected formation energy = 0.35 eV per formula unit
# Magnetization = 0.863 μB per formula unit
# Mass density = 6.91 Mg/m³
# Crystal system = orthorhombic
# Uncorrected energy = -89.5 eV/cell
# Energy above the lowest structure with this stoichiometry = 228.8 meV per atom

# CrSe4 | Alexandria via LeMat-Bulk | GGA-PBE | relaxed
data_CrSe4
_chemical_formula_sum 'Cr1 Se4'
_symmetry_space_group_name_H-M 'P m -3 m'
_symmetry_Int_Tables_number 221
_symmetry_space_group_name_Hall '-P 4 2 3'
_cell_length_a 4.716
_cell_length_b 4.716
_cell_length_c 4.716
_cell_angle_alpha 90.00
_cell_angle_beta 90.00
_cell_angle_gamma 90.00
loop_
_atom_site_label
_atom_site_type_symbol
_atom_site_fract_x
_atom_site_fract_y
_atom_site_fract_z
Cr1 Cr 0.000 0.000 0.000
Se1 Se 0.000 0.000 0.500
Se2 Se 0.500 0.500 0.500
# Uncorrected formation energy = 1.80 eV per formula unit
# Magnetization = 0.356 μB per formula unit
# Mass density = 5.82 Mg/m³
# Crystal system = cubic
# Uncorrected energy = -21.8 eV/cell
# Energy above the lowest structure with this stoichiometry = 121.7 meV per atom

# CrSe2 | Alexandria via LeMat-Bulk | GGA-PBE | relaxed
data_CrSe2
_chemical_formula_sum 'Cr4 Se8'
_symmetry_space_group_name_H-M 'C m c m'
_symmetry_Int_Tables_number 63
_symmetry_space_group_name_Hall '-C 2c 2'
_cell_length_a 3.701
_cell_length_b 13.325
_cell_length_c 5.028
_cell_angle_alpha 90.00
_cell_angle_beta 90.00
_cell_angle_gamma 90.00
loop_
_atom_site_label
_atom_site_type_symbol
_atom_site_fract_x
_atom_site_fract_y
_atom_site_fract_z
Cr1 Cr 0.000 0.167 0.250
Se1 Se 0.000 0.201 0.750
Se2 Se 0.000 0.464 0.750
# Uncorrected formation energy = -1.15 eV per formula unit
# Magnetization = 2.871 μB per formula unit
# Mass density = 5.62 Mg/m³
# Crystal system = orthorhombic
# Uncorrected energy = -71.0 eV/cell

# CrSe | Alexandria via LeMat-Bulk | GGA-PBE | relaxed
data_CrSe
_chemical_formula_sum 'Cr2 Se2'
_symmetry_space_group_name_H-M 'P 63/m m c'
_symmetry_Int_Tables_number 194
_symmetry_space_group_name_Hall '-P 6c 2c'
_cell_length_a 3.6186
_cell_length_b 3.6186
_cell_length_c 6.8441
_cell_angle_alpha 90.00
_cell_angle_beta 90.00
_cell_angle_gamma 120.00
loop_
_atom_site_label
_atom_site_type_symbol
_atom_site_fract_x
_atom_site_fract_y
_atom_site_fract_z
Cr1 Cr 0.3333 0.6667 0.2500
Se1 Se 0.0000 0.0000 0.0000
# Uncorrected formation energy = -0.26 eV per formula unit
# Magnetization = 3.983 μB per formula unit
# Mass density = 5.60 Mg/m³
# Crystal system = hexagonal
# Uncorrected energy = -26.7 eV/cell

# CrSiSe2 | Alexandria via LeMat-Bulk | GGA-PBE | relaxed
data_CrSiSe2
_chemical_formula_sum 'Cr1 Si1 Se2'
_symmetry_space_group_name_H-M 'P 4/m m m'
_symmetry_Int_Tables_number 123
_symmetry_space_group_name_Hall '-P 4 2'
_cell_length_a 4.682
_cell_length_b 4.682
_cell_length_c 3.299
_cell_angle_alpha 90.00
_cell_angle_beta 90.00
_cell_angle_gamma 90.00
loop_
_atom_site_label
_atom_site_type_symbol
_atom_site_fract_x
_atom_site_fract_y
_atom_site_fract_z
Cr1 Cr 0.000 0.000 0.000
Si1 Si 0.500 0.500 0.000
Se1 Se 0.000 0.500 0.500
# Uncorrected formation energy = 1.00 eV per formula unit
# Magnetization = 3.819 μB per formula unit
# Mass density = 5.47 Mg/m³
# Crystal system = tetragonal
# Uncorrected energy = -21.0 eV/cell

# CrSiSe2 | Alexandria via LeMat-Bulk | GGA-PBE | relaxed
data_CrSiSe2
_chemical_formula_sum 'Cr1 Si1 Se2'
_symmetry_space_group_name_H-M 'P 4 m m'
_symmetry_Int_Tables_number 99
_cell_length_a 3.119
_cell_length_b 3.119
_cell_length_c 7.424
_cell_angle_alpha 90.00
_cell_angle_beta 90.00
_cell_angle_gamma 90.00
loop_
_symmetry_equiv_pos_as_xyz
'x,y,z'
'-y,x,z'
'-x,-y,z'
'y,-x,z'
'-x,y,z'
'y,x,z'
'x,-y,z'
'-y,-x,z'
loop_
_atom_site_label
_atom_site_type_symbol
_atom_site_fract_x
_atom_site_fract_y
_atom_site_fract_z
Cr1 Cr 0.000 0.000 0.000
Si1 Si 0.500 0.500 0.831
Se1 Se 0.000 0.000 0.652
Se2 Se 0.500 0.500 0.193
# Uncorrected formation energy = -0.11 eV per formula unit
# Magnetization = 0.343 μB per formula unit
# Mass density = 5.47 Mg/m³
# Crystal system = tetragonal
# Uncorrected energy = -22.1 eV/cell

# CrSi2Se | Alexandria via LeMat-Bulk | GGA-PBE | relaxed
data_CrSi2Se
_chemical_formula_sum 'Cr4 Si8 Se4'
_symmetry_space_group_name_H-M 'F m m m'
_symmetry_Int_Tables_number 69
_symmetry_space_group_name_Hall '-F 2 2'
_cell_length_a 5.131
_cell_length_b 5.261
_cell_length_c 9.908
_cell_angle_alpha 90.00
_cell_angle_beta 90.00
_cell_angle_gamma 90.00
loop_
_atom_site_label
_atom_site_type_symbol
_atom_site_fract_x
_atom_site_fract_y
_atom_site_fract_z
Cr1 Cr 0.000 0.000 0.000
Si1 Si 0.000 0.250 0.250
Se1 Se 0.000 0.000 0.500
# Uncorrected formation energy = 0.88 eV per formula unit
# Magnetization = 3.588 μB per formula unit
# Mass density = 4.65 Mg/m³
# Crystal system = orthorhombic
# Uncorrected energy = -92.3 eV/cell

# CrSi2Se | Alexandria via LeMat-Bulk | GGA-PBE | relaxed
data_CrSi2Se
_chemical_formula_sum 'Cr2 Si4 Se2'
_symmetry_space_group_name_H-M 'C 1 m 1'
_symmetry_Int_Tables_number 8
_cell_length_a 8.609
_cell_length_b 2.986
_cell_length_c 5.552
_cell_angle_alpha 90.00
_cell_angle_beta 104.49
_cell_angle_gamma 90.00
loop_
_symmetry_equiv_pos_as_xyz
'x,y,z'
'x,-y,z'
'x+1/2,y+1/2,z'
'x+1/2,-y+1/2,z'
loop_
_atom_site_label
_atom_site_type_symbol
_atom_site_fract_x
_atom_site_fract_y
_atom_site_fract_z
Cr1 Cr 0.000 0.000 0.000
Si1 Si 0.219 0.500 0.014
Si2 Si 0.470 0.000 0.305
Se1 Se 0.361 0.000 0.662
# Uncorrected formation energy = 0.49 eV per formula unit
# Magnetization = 0.000 μB per formula unit
# Mass density = 4.50 Mg/m³
# Crystal system = monoclinic
# Uncorrected energy = -46.9 eV/cell

# CrSiSe2 | Alexandria via LeMat-Bulk | GGA-PBE | relaxed
data_CrSiSe2
_chemical_formula_sum 'Cr3 Si3 Se6'
_symmetry_space_group_name_H-M 'R 3 m'
_symmetry_Int_Tables_number 160
_symmetry_space_group_name_Hall 'R 3 -2"'
_cell_length_a 3.1005
_cell_length_b 3.1005
_cell_length_c 27.6313
_cell_angle_alpha 90.00
_cell_angle_beta 90.00
_cell_angle_gamma 120.00
loop_
_atom_site_label
_atom_site_type_symbol
_atom_site_fract_x
_atom_site_fract_y
_atom_site_fract_z
Cr1 Cr 0.0000 0.0000 0.0000
Si1 Si 0.0000 0.0000 0.2679
Se1 Se 0.0000 0.0000 0.5376
Se2 Se 0.0000 0.0000 0.7238
# Uncorrected formation energy = -0.43 eV per formula unit
# Magnetization = 0.000 μB per formula unit
# Mass density = 5.15 Mg/m³
# Crystal system = trigonal
# Uncorrected energy = -67.3 eV/cell

# Cr2SiSe | Alexandria via LeMat-Bulk | GGA-PBE | relaxed
data_Cr2SiSe
_chemical_formula_sum 'Cr6 Si3 Se3'
_symmetry_space_group_name_H-M 'R -3 m'
_symmetry_Int_Tables_number 166
_symmetry_space_group_name_Hall '-R 3 2"'
_cell_length_a 2.9080
_cell_length_b 2.9080
_cell_length_c 22.6320
_cell_angle_alpha 90.00
_cell_angle_beta 90.00
_cell_angle_gamma 120.00
loop_
_atom_site_label
_atom_site_type_symbol
_atom_site_fract_x
_atom_site_fract_y
_atom_site_fract_z
Cr1 Cr 0.0000 0.0000 0.2491
Si1 Si 0.0000 0.0000 0.0000
Se1 Se 0.0000 0.0000 0.5000
# Uncorrected formation energy = 0.79 eV per formula unit
# Magnetization = 3.142 μB per formula unit
# Mass density = 6.34 Mg/m³
# Crystal system = trigonal
# Uncorrected energy = -82.1 eV/cell
# Energy above the lowest structure with this stoichiometry = 245.8 meV per atom

# CrSi2Se | Alexandria via LeMat-Bulk | GGA-PBE | relaxed
data_CrSi2Se
_chemical_formula_sum 'Cr2 Si4 Se2'
_symmetry_space_group_name_H-M 'C m m m'
_symmetry_Int_Tables_number 65
_symmetry_space_group_name_Hall '-C 2 2'
_cell_length_a 5.046
_cell_length_b 5.102
_cell_length_c 5.166
_cell_angle_alpha 90.00
_cell_angle_beta 90.00
_cell_angle_gamma 90.00
loop_
_atom_site_label
_atom_site_type_symbol
_atom_site_fract_x
_atom_site_fract_y
_atom_site_fract_z
Cr1 Cr 0.000 0.000 0.000
Si1 Si 0.240 0.000 0.500
Se1 Se 0.000 0.500 0.000
# Uncorrected formation energy = 0.75 eV per formula unit
# Magnetization = 3.187 μB per formula unit
# Mass density = 4.67 Mg/m³
# Crystal system = orthorhombic
# Uncorrected energy = -46.4 eV/cell

# CrSi2Se | Alexandria via LeMat-Bulk | GGA-PBE | relaxed
data_CrSi2Se
_chemical_formula_sum 'Cr1 Si2 Se1'
_symmetry_space_group_name_H-M 'P 1 m 1'
_symmetry_Int_Tables_number 6
_cell_length_a 3.586
_cell_length_b 3.575
_cell_length_c 5.282
_cell_angle_alpha 90.00
_cell_angle_beta 109.77
_cell_angle_gamma 90.00
loop_
_symmetry_equiv_pos_as_xyz
'x,y,z'
'x,-y,z'
loop_
_atom_site_label
_atom_site_type_symbol
_atom_site_fract_x
_atom_site_fract_y
_atom_site_fract_z
Cr1 Cr 0.000 0.000 0.000
Si1 Si 0.168 0.500 0.347
Si2 Si 0.692 0.000 0.389
Se1 Se 0.414 0.500 0.829
# Uncorrected formation energy = 0.41 eV per formula unit
# Magnetization = 2.277 μB per formula unit
# Mass density = 4.88 Mg/m³
# Crystal system = monoclinic
# Uncorrected energy = -23.5 eV/cell

# Cr3SiSe | Alexandria via LeMat-Bulk | GGA-PBE | relaxed
data_Cr3SiSe
_chemical_formula_sum 'Cr3 Si1 Se1'
_symmetry_space_group_name_H-M 'P m -3 m'
_symmetry_Int_Tables_number 221
_symmetry_space_group_name_Hall '-P 4 2 3'
_cell_length_a 4.693
_cell_length_b 4.693
_cell_length_c 4.693
_cell_angle_alpha 90.00
_cell_angle_beta 90.00
_cell_angle_gamma 90.00
loop_
_atom_site_label
_atom_site_type_symbol
_atom_site_fract_x
_atom_site_fract_y
_atom_site_fract_z
Cr1 Cr 0.000 0.000 0.500
Si1 Si 0.000 0.000 0.000
Se1 Se 0.500 0.500 0.500
# Uncorrected formation energy = 3.60 eV per formula unit
# Magnetization = 11.959 μB per formula unit
# Mass density = 4.23 Mg/m³
# Crystal system = cubic
# Uncorrected energy = -34.2 eV/cell
# Energy above the lowest structure with this stoichiometry = 0.0 meV per atom

# CrSi3Se | Alexandria via LeMat-Bulk | GGA-PBE | relaxed
data_CrSi3Se
_chemical_formula_sum 'Cr1 Si3 Se1'
_symmetry_space_group_name_H-M 'P m -3 m'
_symmetry_Int_Tables_number 221
_symmetry_space_group_name_Hall '-P 4 2 3'
_cell_length_a 4.571
_cell_length_b 4.571
_cell_length_c 4.571
_cell_angle_alpha 90.00
_cell_angle_beta 90.00
_cell_angle_gamma 90.00
loop_
_atom_site_label
_atom_site_type_symbol
_atom_site_fract_x
_atom_site_fract_y
_atom_site_fract_z
Cr1 Cr 0.000 0.000 0.000
Si1 Si 0.000 0.000 0.500
Se1 Se 0.500 0.500 0.500
# Uncorrected formation energy = 2.41 eV per formula unit
# Magnetization = 1.971 μB per formula unit
# Mass density = 3.74 Mg/m³
# Crystal system = cubic
# Uncorrected energy = -27.0 eV/cell
# Energy above the lowest structure with this stoichiometry = 0.0 meV per atom